Entry from the Alexandria database: a geometry-optimized Ho6InTe5 structure (PBE).

symmetry = C2/m (12)
formation energy from raw total energies = -1.139 eV per atom
electronic total energy = -59.6 eV per cell

a = 7.537 Å, b = 7.557 Å, c = 7.540 Å
α = 59.92°, β = 80.45°, γ = 70.66°
Fractional coordinates of all 12 atoms:
Te: 0.500 0.172 0.656
Te: 0.000 0.335 0.330
Te: 0.500 0.500 0.000
Te: 0.000 0.665 0.670
Te: 0.500 0.828 0.344
Ho: 0.758 0.080 0.323
Ho: 0.242 0.598 0.323
Ho: 0.246 0.238 0.000
Ho: 0.754 0.762 0.000
Ho: 0.758 0.402 0.677
Ho: 0.242 0.920 0.677
In: 0.000 0.000 0.000

---

Entry from the Alexandria database: a geometry-optimized Ho3InTe6 structure (PBE).

symmetry = Cmc2_1 (36)
formation energy from raw total energies = -1.074 eV per atom
electronic total energy = -92.1 eV per cell

a = 7.359 Å, b = 9.628 Å, c = 9.628 Å
α = 102.26°, β = 90.00°, γ = 90.00°
Fractional coordinates of all 20 atoms:
Ho: 0.486 0.914 0.721
Ho: 0.986 0.721 0.914
Ho: 0.379 0.408 0.592
Ho: 0.879 0.592 0.408
Ho: 0.986 0.086 0.279
Ho: 0.486 0.279 0.086
In: 0.013 0.206 0.794
In: 0.513 0.794 0.206
Te: 0.179 0.702 0.626
Te: 0.679 0.626 0.702
Te: 0.224 0.451 0.902
Te: 0.724 0.902 0.451
Te: 0.182 0.033 0.967
Te: 0.633 0.223 0.777
Te: 0.133 0.777 0.223
Te: 0.682 0.967 0.033
Te: 0.224 0.098 0.549
Te: 0.724 0.549 0.098
Te: 0.179 0.374 0.298
Te: 0.679 0.298 0.374

---

Entry from the Alexandria database: a geometry-optimized Ho8InTe2 structure (PBE).

symmetry = C2/m (12)
formation energy from raw total energies = -0.391 eV per atom
electronic total energy = -50.0 eV per cell

a = 5.815 Å, b = 8.099 Å, c = 8.099 Å
α = 116.09°, β = 98.12°, γ = 98.12°
Fractional coordinates of all 11 atoms:
Ho: 0.867 0.915 0.683
Ho: 0.867 0.683 0.915
Ho: 0.302 0.603 0.603
Ho: 0.500 0.760 0.240
Ho: 0.500 0.240 0.760
Ho: 0.698 0.397 0.397
Ho: 0.133 0.317 0.085
Ho: 0.133 0.085 0.317
In: 0.500 0.000 0.000
Te: 0.000 0.306 0.694
Te: 0.000 0.694 0.306